# 1
Entry from Alexandria via LeMat-Bulk: crystalline Eu2SO2 at its relaxed geometry (PBE).

Unit cell a=3.9235 b=3.9235 c=6.7920 alpha=90.00 beta=90.00 gamma=120.00
With the nearest neighbours (Å) after each atom.
Element x y z (fractional)
Eu: 0.3333 0.6667 0.2821  4 O 2.34-2.38
Eu: 0.6667 0.3333 0.7179  4 O 2.34-2.38
S: 0.0000 0.0000 0.0000  6 Eu 2.97
O: 0.3333 0.6667 0.6320  4 Eu 2.34-2.38
O: 0.6667 0.3333 0.3680  4 Eu 2.34-2.38

## Properties
- Energy relative to the elements, uncorrected: -12.3 eV per formula unit
- DFT total energy: -46.84 eV per cell
- Total moment: 12.00 μB per formula unit

=====

# 2
Entry from Alexandria via LeMat-Bulk: crystalline YTmSnRh at its relaxed geometry (PBE).

Unit cell a=5.0712 b=5.0712 c=5.0712 alpha=60.00 beta=60.00 gamma=60.00
With the nearest neighbours (Å) after each atom.
Element x y z (fractional)
Y: 0.0000 0.0000 0.0000  4 Sn 3.11, 4 Rh 3.11
Tm: 0.5000 0.5000 0.5000  4 Sn 3.11, 4 Rh 3.11
Sn: 0.7500 0.7500 0.7500  4 Tm 3.11, 4 Y 3.11
Rh: 0.2500 0.2500 0.2500  4 Tm 3.11, 4 Y 3.11

## Properties
- DFT total energy: -24.99 eV per cell
- Total moment: 0.00 μB per formula unit

=====

# 3
Entry from Alexandria via LeMat-Bulk: crystalline BaB3Ru at its relaxed geometry (PBE).

Unit cell a=4.2437 b=4.2437 c=4.2437 alpha=90.00 beta=90.00 gamma=90.00
With the nearest neighbours (Å) after each atom.
Element x y z (fractional)
Ba: 0.0000 0.0000 0.0000  12 B 3.00
B: 0.0000 0.5000 0.5000  2 Ru 2.12
B: 0.5000 0.0000 0.5000  2 Ru 2.12
B: 0.5000 0.5000 0.0000  2 Ru 2.12
Ru: 0.5000 0.5000 0.5000  6 B 2.12

## Properties
- DFT total energy: -29.46 eV per cell
- Total moment: 0.00 μB per formula unit
- Polymorph energy (0 for the lowest one): 0.0 meV per atom

=====

# 4
Entry from Alexandria via LeMat-Bulk: crystalline Sm2DyRh at its relaxed geometry (PBE).

Unit cell a=7.2338 b=9.7914 c=6.3240 alpha=90.00 beta=90.00 gamma=90.00
With the nearest neighbours (Å) after each atom.
Element x y z (fractional)
Sm: 0.1781 0.0648 0.1700  2 Rh 2.90-2.91
Sm: 0.1781 0.4352 0.1700  2 Rh 2.90-2.91
Sm: 0.3219 0.5648 0.6700  2 Rh 2.90-2.91
Sm: 0.3219 0.9352 0.6700  2 Rh 2.90-2.91
Sm: 0.6781 0.0648 0.3300  2 Rh 2.90-2.91
Sm: 0.6781 0.4352 0.3300  2 Rh 2.90-2.91
Sm: 0.8219 0.5648 0.8300  2 Rh 2.90-2.91
Sm: 0.8219 0.9352 0.8300  2 Rh 2.90-2.91
Dy: 0.0364 0.2500 0.6461  2 Rh 2.79-2.83
Dy: 0.4636 0.7500 0.1461  2 Rh 2.79-2.83
Dy: 0.5364 0.2500 0.8539  2 Rh 2.79-2.83
Dy: 0.9636 0.7500 0.3539  2 Rh 2.79-2.83
Rh: 0.1210 0.7500 0.9436  2 Dy 2.79-2.83, 4 Sm 2.90-2.91
Rh: 0.3790 0.2500 0.4436  2 Dy 2.79-2.83, 4 Sm 2.90-2.91
Rh: 0.6210 0.7500 0.5564  2 Dy 2.79-2.83, 4 Sm 2.90-2.91
Rh: 0.8790 0.2500 0.0564  2 Dy 2.79-2.83, 4 Sm 2.90-2.91

## Properties
- DFT total energy: -93.21 eV per cell
- Total moment: 0.00 μB per formula unit
- Polymorph energy (0 for the lowest one): 0.0 meV per atom

=====

# 5
Entry from Alexandria via LeMat-Bulk: crystalline Dy4Sc7In at its relaxed geometry (PBE).

Unit cell a=6.2747 b=6.2747 c=11.3082 alpha=100.94 beta=100.94 gamma=50.57
With the nearest neighbours (Å) after each atom.
Element x y z (fractional)
Dy: 0.0794 0.0794 0.2640  1 In 2.99, 3 Sc 3.24-3.31
Dy: 0.3617 0.3617 0.2152  5 Sc 3.27-3.44, 3 Dy 3.36-3.61
Dy: 0.6383 0.6383 0.7848  5 Sc 3.27-3.44, 3 Dy 3.36-3.61
Dy: 0.9206 0.9206 0.7360  1 In 2.99, 3 Sc 3.24-3.31
Sc: 0.1361 0.1361 0.9746  4 Sc 3.09-3.26, 4 Dy 3.24-3.44
Sc: 0.2549 0.2549 0.6080  1 In 2.89
Sc: 0.3827 0.3827 0.8955  5 Sc 3.09-3.27, 3 Dy 3.31-3.39
Sc: 0.5000 0.5000 0.5000  2 In 2.68
Sc: 0.6173 0.6173 0.1045  5 Sc 3.09-3.27, 3 Dy 3.31-3.39
Sc: 0.7451 0.7451 0.3920  1 In 2.89
Sc: 0.8639 0.8639 0.0254  4 Sc 3.09-3.26, 4 Dy 3.24-3.44
In: 0.0000 0.0000 0.5000  4 Sc 2.68-2.89, 2 Dy 2.99

## Properties
- DFT total energy: -63.67 eV per cell
- Total moment: 0.00 μB per formula unit

=====

# 6
Entry from Alexandria via LeMat-Bulk: crystalline Na3LiHf3O8 at its relaxed geometry (PBE).

Unit cell a=6.6224 b=6.6224 c=6.6224 alpha=57.28 beta=57.28 gamma=57.28
With the nearest neighbours (Å) after each atom.
Element x y z (fractional)
Na: 0.0000 0.5000 0.5000  6 O 2.43-2.53
Na: 0.5000 0.0000 0.5000  6 O 2.43-2.53
Na: 0.5000 0.5000 0.0000  6 O 2.43-2.53
Li: 0.5000 0.5000 0.5000  6 O 2.19
Hf: 0.0000 0.0000 0.5000  6 O 2.08-2.17
Hf: 0.0000 0.5000 0.0000  6 O 2.08-2.17
Hf: 0.5000 0.0000 0.0000  6 O 2.08-2.17
O: 0.2145 0.7386 0.7386  2 Hf 2.08, 1 Li 2.19
O: 0.2367 0.2367 0.2367  3 Hf 2.17
O: 0.2614 0.2614 0.7855  2 Hf 2.08, 1 Li 2.19
O: 0.2614 0.7855 0.2614  2 Hf 2.08, 1 Li 2.19
O: 0.7386 0.2145 0.7386  2 Hf 2.08, 1 Li 2.19
O: 0.7386 0.7386 0.2145  2 Hf 2.08, 1 Li 2.19
O: 0.7633 0.7633 0.7633  3 Hf 2.17
O: 0.7855 0.2614 0.2614  2 Hf 2.08, 1 Li 2.19

## Properties
- Energy relative to the elements, uncorrected: -41.5 eV per formula unit
- DFT total energy: -116.86 eV per cell
- Total moment: 0.00 μB per formula unit

=====

# 7
Entry from Alexandria via LeMat-Bulk: crystalline CaAc2LaTc at its relaxed geometry (PBE).

Unit cell a=5.8610 b=5.8610 c=5.5552 alpha=90.00 beta=90.00 gamma=90.00
With the nearest neighbours (Å) after each atom.
Element x y z (fractional)
Ca: 0.0000 0.0000 0.0000  8 Ac 4.04, 4 La 4.14
Ac: 0.0000 0.5000 0.5000  2 Tc 2.93
Ac: 0.5000 0.0000 0.5000  2 Tc 2.93
La: 0.5000 0.5000 0.0000  2 Tc 2.78
Tc: 0.5000 0.5000 0.5000  2 La 2.78, 4 Ac 2.93

## Properties
- DFT total energy: -25.36 eV per cell
- Total moment: 0.00 μB per formula unit

=====

# 8
Entry from Alexandria via LeMat-Bulk: crystalline CePm2Th at its relaxed geometry (PBE).

Unit cell a=11.9289 b=11.9289 c=11.9289 alpha=17.30 beta=17.30 gamma=17.30
With the nearest neighbours (Å) after each atom.
Element x y z (fractional)
Ce: 0.0000 0.0000 0.0000  6 Ce 3.59, 6 Pm 3.62-3.64
Pm: 0.2491 0.2491 0.2491  3 Th 3.56, 6 Pm 3.59, 3 Ce 3.62
Pm: 0.4181 0.4181 0.4181  3 Th 3.56, 6 Pm 3.59, 3 Ce 3.64
Th: 0.8336 0.8336 0.8336  6 Pm 3.56, 6 Th 3.59

## Properties
- DFT total energy: -22.52 eV per cell
- Total moment: 1.05 μB per formula unit
- Polymorph energy (0 for the lowest one): 0.0 meV per atom

=====

# 9
Entry from Alexandria via LeMat-Bulk: crystalline Y4Hg2H at its relaxed geometry (PBE).

Unit cell a=8.4674 b=8.4674 c=8.4674 alpha=147.69 beta=147.69 gamma=46.34
With the nearest neighbours (Å) after each atom.
Element x y z (fractional)
Y: 0.0000 0.5000 0.5000  2 H 2.36
Y: 0.1806 0.1806 0.0000  1 H 2.81, 1 Hg 2.93
Y: 0.5000 0.0000 0.5000  2 H 2.36
Y: 0.8194 0.8194 0.0000  1 H 2.81, 1 Hg 2.93
Hg: 0.3690 0.3690 0.0000  5 Y 2.93-3.12
Hg: 0.6310 0.6310 0.0000  5 Y 2.93-3.12
H: 0.0000 0.0000 0.0000  4 Y 2.36

## Properties
- DFT total energy: -32.26 eV per cell
- Total moment: 0.00 μB per formula unit

=====

# 10
Entry from Alexandria via LeMat-Bulk: crystalline LiSi5Pt3 at its relaxed geometry (PBE).

Unit cell a=7.1222 b=7.1222 c=8.1975 alpha=109.10 beta=109.10 gamma=47.80
With the nearest neighbours (Å) after each atom.
Element x y z (fractional)
Li: 0.2394 0.7606 0.7500  4 Pt 2.54-2.59, 4 Si 2.78-2.79
Li: 0.7606 0.2394 0.2500  4 Pt 2.54-2.59, 4 Si 2.78-2.79
Si: 0.0791 0.6013 0.9025  4 Pt 2.46-2.49
Si: 0.0851 0.5867 0.4209  4 Pt 2.47-2.52
Si: 0.2560 0.7440 0.2500  4 Pt 2.49-2.51
Si: 0.3987 0.9209 0.5975  4 Pt 2.46-2.49
Si: 0.4133 0.9149 0.0791  4 Pt 2.47-2.52
Si: 0.5867 0.0851 0.9209  4 Pt 2.47-2.52
Si: 0.6013 0.0791 0.4025  4 Pt 2.46-2.49
Si: 0.7440 0.2560 0.7500  4 Pt 2.49-2.51
Si: 0.9149 0.4133 0.5791  4 Pt 2.47-2.52
Si: 0.9209 0.3987 0.0975  4 Pt 2.46-2.49
Pt: 0.1531 0.1943 0.8466  7 Si 2.47-2.52, 1 Li 2.59
Pt: 0.1943 0.1531 0.3466  7 Si 2.47-2.52, 1 Li 2.59
Pt: 0.5000 0.5000 0.0000  6 Si 2.46-2.49, 2 Li 2.54
Pt: 0.5000 0.5000 0.5000  6 Si 2.46-2.49, 2 Li 2.54
Pt: 0.8057 0.8469 0.6534  7 Si 2.47-2.52, 1 Li 2.59
Pt: 0.8469 0.8057 0.1534  7 Si 2.47-2.52, 1 Li 2.59

## Properties
- Energy relative to the elements, uncorrected: -5.2 eV per formula unit
- DFT total energy: -104.77 eV per cell
- Total moment: 0.00 μB per formula unit

=====

# 11
Entry from Alexandria via LeMat-Bulk: crystalline YW at its relaxed geometry (PBE).

Unit cell a=6.2651 b=6.2651 c=4.3883 alpha=90.00 beta=90.00 gamma=147.41
With the nearest neighbours (Å) after each atom.
Element x y z (fractional)
Y: 0.1601 0.8399 0.7500  7 W 3.07-3.41
Y: 0.8399 0.1601 0.2500  7 W 3.07-3.41
W: 0.4434 0.5566 0.7500  2 W 2.58
W: 0.5566 0.4434 0.2500  2 W 2.58

## Properties
- DFT total energy: -36.67 eV per cell
- Total moment: 0.00 μB per formula unit
- Polymorph energy (0 for the lowest one): 292.9 meV per atom

=====

# 12
Entry from Alexandria via LeMat-Bulk: crystalline AlPd2Au6 at its relaxed geometry (PBE).

Unit cell a=8.2981 b=8.2981 c=2.8866 alpha=99.83 beta=99.83 gamma=54.75
With the nearest neighbours (Å) after each atom.
Element x y z (fractional)
Al: 0.0000 0.0000 0.0000  8 Au 2.72-2.77, 2 Al 2.89
Pd: 0.3345 0.3345 0.3373  8 Au 2.82-2.83, 2 Pd 2.89
Pd: 0.6655 0.6655 0.6627  8 Au 2.82-2.83, 2 Pd 2.89
Au: 0.0173 0.6520 0.8363  1 Al 2.77, 7 Au 2.79-3.03, 3 Pd 2.82
Au: 0.3017 0.6983 0.5000  2 Al 2.72, 2 Pd 2.83, 7 Au 2.89-3.03
Au: 0.3480 0.9827 0.1637  1 Al 2.77, 7 Au 2.79-3.03, 3 Pd 2.82
Au: 0.6520 0.0173 0.8363  1 Al 2.77, 7 Au 2.79-3.03, 3 Pd 2.82
Au: 0.6983 0.3017 0.5000  2 Al 2.72, 2 Pd 2.83, 7 Au 2.89-3.03
Au: 0.9827 0.3480 0.1637  1 Al 2.77, 7 Au 2.79-3.03, 3 Pd 2.82

## Properties
- DFT total energy: -34.45 eV per cell
- Total moment: 0.00 μB per formula unit
- Polymorph energy (0 for the lowest one): 150.5 meV per atom

=====

# 13
Entry from Alexandria via LeMat-Bulk: crystalline LaErIn at its relaxed geometry (PBE).

Unit cell a=6.1840 b=6.1840 c=6.6664 alpha=90.00 beta=90.00 gamma=133.15
With the nearest neighbours (Å) after each atom.
Element x y z (fractional)
La: 0.1958 0.8042 0.7500  3 Er 3.18-3.50
La: 0.8042 0.1958 0.2500  3 Er 3.18-3.50
Er: 0.0844 0.9156 0.2500  4 In 3.12, 1 La 3.18
Er: 0.9156 0.0844 0.7500  4 In 3.12, 1 La 3.18
In: 0.5000 0.5000 0.0000  4 Er 3.12, 2 In 3.33
In: 0.5000 0.5000 0.5000  4 Er 3.12, 2 In 3.33

## Properties
- DFT total energy: -25.64 eV per cell
- Total moment: 0.00 μB per formula unit
- Polymorph energy (0 for the lowest one): 141.5 meV per atom

=====

# 14
Entry from Alexandria via LeMat-Bulk: crystalline Dy2Zr3Co2 at its relaxed geometry (PBE).

Unit cell a=5.9694 b=5.9694 c=8.3285 alpha=113.63 beta=113.63 gamma=33.78
With the nearest neighbours (Å) after each atom.
Element x y z (fractional)
Dy: 0.1559 0.1559 0.3002  2 Co 2.88
Dy: 0.8441 0.8441 0.6998  2 Co 2.88
Zr: 0.3805 0.3805 0.0670  2 Co 2.54
Zr: 0.5000 0.5000 0.5000  4 Co 2.66
Zr: 0.6195 0.6195 0.9330  2 Co 2.54
Co: 0.1546 0.1546 0.7348  4 Zr 2.54-2.66
Co: 0.8454 0.8454 0.2652  4 Zr 2.54-2.66

## Properties
- DFT total energy: -50.40 eV per cell
- Total moment: 0.00 μB per formula unit

=====

# 15
Entry from Alexandria via LeMat-Bulk: crystalline CdFe3As at its relaxed geometry (PBE).

Unit cell a=4.4099 b=4.4099 c=4.4099 alpha=90.00 beta=90.00 gamma=90.00
With the nearest neighbours (Å) after each atom.
Element x y z (fractional)
Cd: 0.0000 0.0000 0.0000  12 Fe 3.12
Fe: 0.0000 0.5000 0.5000  2 As 2.20
Fe: 0.5000 0.0000 0.5000  2 As 2.20
Fe: 0.5000 0.5000 0.0000  2 As 2.20
As: 0.5000 0.5000 0.5000  6 Fe 2.20

## Properties
- DFT total energy: -28.00 eV per cell
- Total moment: 6.59 μB per formula unit
- Polymorph energy (0 for the lowest one): 0.0 meV per atom

=====

# 16
Entry from Alexandria via LeMat-Bulk: crystalline TeRuI2F at its relaxed geometry (PBE).

Unit cell a=5.4706 b=5.4706 c=4.9955 alpha=90.00 beta=90.00 gamma=90.00
With the nearest neighbours (Å) after each atom.
Element x y z (fractional)
Te: 0.0000 0.0000 0.0000  2 Ru 2.50
Ru: 0.0000 0.0000 0.5000  2 Te 2.50, 4 I 2.74
I: 0.0000 0.5000 0.5000  2 Ru 2.74
I: 0.5000 0.0000 0.5000  2 Ru 2.74
F: 0.5000 0.5000 0.0000  8 I 3.70, 4 Te 3.87

## Properties
- Energy relative to the elements, uncorrected: 1.1 eV per formula unit
- DFT total energy: -16.29 eV per cell
- Total moment: 1.22 μB per formula unit
- Polymorph energy (0 for the lowest one): 0.0 meV per atom

=====

# 17
Entry from Alexandria via LeMat-Bulk: crystalline Sm2TmCd4 at its relaxed geometry (PBE).

Unit cell a=7.9982 b=7.9982 c=7.9982 alpha=141.17 beta=141.17 gamma=56.08
With the nearest neighbours (Å) after each atom.
Element x y z (fractional)
Sm: 0.2423 0.2423 0.0000  8 Cd 3.24-3.37
Sm: 0.7577 0.7577 0.0000  8 Cd 3.24-3.37
Tm: 0.5000 0.5000 0.0000  8 Cd 3.08
Cd: 0.1105 0.6105 0.5000  2 Tm 3.08, 1 Cd 3.12, 4 Sm 3.24-3.37
Cd: 0.3895 0.8895 0.5000  2 Tm 3.08, 1 Cd 3.12, 4 Sm 3.24-3.37
Cd: 0.6105 0.1105 0.5000  2 Tm 3.08, 1 Cd 3.12, 4 Sm 3.24-3.37
Cd: 0.8895 0.3895 0.5000  2 Tm 3.08, 1 Cd 3.12, 4 Sm 3.24-3.37

## Properties
- DFT total energy: -18.69 eV per cell
- Total moment: 0.45 μB per formula unit
- Polymorph energy (0 for the lowest one): 0.0 meV per atom

=====

# 18
Entry from Alexandria via LeMat-Bulk: crystalline SiOsW2 at its relaxed geometry (PBE).

Unit cell a=4.9256 b=4.9256 c=4.9256 alpha=134.62 beta=134.62 gamma=66.13
With the nearest neighbours (Å) after each atom.
Element x y z (fractional)
Si: 0.0000 0.0000 0.0000  8 W 2.69-2.81, 4 Os 2.81
Os: 0.7500 0.2500 0.5000  8 W 2.69-2.81, 4 Si 2.81
W: 0.2500 0.7500 0.5000  4 Os 2.69, 4 W 2.81, 4 Si 2.81
W: 0.5000 0.5000 0.0000  4 Si 2.69, 4 W 2.81, 4 Os 2.81

## Properties
- Energy relative to the elements, uncorrected: 0.7 eV per formula unit
- DFT total energy: -41.81 eV per cell
- Total moment: 0.00 μB per formula unit

=====

# 19
Entry from Alexandria via LeMat-Bulk: crystalline BaMoRh2 at its relaxed geometry (PBE).

Unit cell a=4.8111 b=4.8111 c=4.8111 alpha=60.00 beta=60.00 gamma=60.00
With the nearest neighbours (Å) after each atom.
Element x y z (fractional)
Ba: 0.0000 0.0000 0.0000  8 Rh 2.95
Mo: 0.5000 0.5000 0.5000  8 Rh 2.95
Rh: 0.2500 0.2500 0.2500  4 Ba 2.95, 4 Mo 2.95
Rh: 0.7500 0.7500 0.7500  4 Ba 2.95, 4 Mo 2.95

## Properties
- DFT total energy: -24.53 eV per cell
- Total moment: 0.00 μB per formula unit
- Polymorph energy (0 for the lowest one): 607.0 meV per atom

=====

# 20
Entry from Alexandria via LeMat-Bulk: crystalline Nb12In3Re at its relaxed geometry (PBE).

Unit cell a=5.2943 b=5.3069 c=10.5829 alpha=90.00 beta=90.00 gamma=90.00
With the nearest neighbours (Å) after each atom.
Element x y z (fractional)
Nb: 0.0000 0.0000 0.1180  2 Nb 2.50-2.69
Nb: 0.0000 0.0000 0.3718  2 Nb 2.69-2.71, 4 In 2.95-2.97
Nb: 0.0000 0.0000 0.6282  2 Nb 2.69-2.71, 4 In 2.95-2.97
Nb: 0.0000 0.0000 0.8820  2 Nb 2.50-2.69
Nb: 0.2490 0.5000 0.5000  2 Nb 2.64-2.66
Nb: 0.2578 0.5000 0.0000  2 Nb 2.56-2.73
Nb: 0.5000 0.2430 0.2408  2 Nb 2.58-2.73, 1 Re 2.86
Nb: 0.5000 0.2430 0.7592  2 Nb 2.58-2.73, 1 Re 2.86
Nb: 0.5000 0.7570 0.2408  2 Nb 2.58-2.73, 1 Re 2.86
Nb: 0.5000 0.7570 0.7592  2 Nb 2.58-2.73, 1 Re 2.86
Nb: 0.7422 0.5000 0.0000  2 Nb 2.56-2.73
Nb: 0.7510 0.5000 0.5000  2 Nb 2.64-2.66
In: 0.0000 0.5000 0.2498  12 Nb 2.95-3.00
In: 0.0000 0.5000 0.7502  12 Nb 2.95-3.00
In: 0.5000 0.0000 0.5000  12 Nb 2.97-3.03
Re: 0.5000 0.0000 0.0000  12 Nb 2.86-2.95

## Properties
- DFT total energy: -142.45 eV per cell
- Total moment: 0.00 μB per formula unit